Entry from Alexandria via LeMat-Bulk: a relaxed TiWS2 crystal (PBE-GGA).

**ΔE_f (raw)**: -0.28 eV per atom
**Energy**: -7.56 eV per atom
**Total magnetic moment**: 0.5 μB/f.u.

Structure (CIF):
```
data_TiWS2
_space_group_name_H-M_alt 'I -4 2 d'
_space_group_IT_number 122
_space_group_name_Hall 'I -4 2bw'
_cell_length_a 4.663
_cell_length_b 4.663
_cell_length_c 13.479
_cell_angle_alpha 90.00
_cell_angle_beta 90.00
_cell_angle_gamma 90.00
loop_
_atom_site_label
_atom_site_type_symbol
_atom_site_fract_x
_atom_site_fract_y
_atom_site_fract_z
Ti1 Ti 0.000 0.000 0.000
W1 W 0.000 0.000 0.500
S1 S 0.241 0.250 0.625
```